Entry 1:
The following is a DFT calculation (PBE-GGA) of an optimized crystal structure of SiSb2Mo.

POSCAR file:
```
SiSb2Mo
1.0
4.2530 -1.7107 0.0000
4.2530 1.7107 0.0000
-1.0709 0.0000 6.2056
Si Sb Mo
1 2 1
Cartesian
0.0000 0.0000 0.0000 Si
4.0048 0.0000 4.1350 Sb
6.3324 0.0000 1.7614 Sb
1.3872 0.0000 5.8261 Mo
```

Calculated values
Uncorrected formation energy (eV/atom): 0.13

=====

Entry 2:
The following is a DFT calculation (PBE-GGA) of an optimized crystal structure of Al3GaW.

POSCAR file:
```
Al3GaW
1.0
4.9415 0.0000 0.0000
0.0000 4.9415 0.0000
0.0000 0.0000 4.9415
Al Ga W
3 1 1
Cartesian
0.0000 0.0000 2.4708 Al
0.0000 2.4708 0.0000 Al
2.4708 0.0000 0.0000 Al
2.4708 2.4708 2.4708 Ga
0.0000 0.0000 0.0000 W
```

Calculated values
ΔE_f (kJ per mole of atoms): 65
ΔE to the lowest computed polymorph (meV per atom): 593

=====

Entry 3:
The following is a DFT calculation (PBE-GGA) of an optimized crystal structure of Ir2OsBr.

POSCAR file:
```
Ir2OsBr
1.0
-1.3878 2.2853 5.1883
1.3878 -2.2853 5.1883
1.3878 2.2853 -5.1883
Ir Os Br
2 1 1
Cartesian
0.0000 0.0000 2.3008 Ir
0.0000 0.0000 8.0758 Ir
1.3878 0.0000 0.0000 Os
0.0000 2.2853 0.0000 Br
```

Calculated values
ΔE to the lowest computed polymorph (meV per atom): 375
Uncorrected formation energy (eV/atom): 0.98

=====

Entry 4:
The following is a DFT calculation (PBE-GGA) of an optimized crystal structure of Rb2ScW2.

POSCAR file:
```
Rb2ScW2
1.0
10.5855 0.0000 0.0000
0.0000 10.5855 0.0000
0.0000 0.0000 2.9294
Rb Sc W
4 2 4
Cartesian
2.2234 3.0693 0.0000 Rb
3.0693 8.3621 0.0000 Rb
7.5161 2.2234 0.0000 Rb
8.3621 7.5161 0.0000 Rb
0.0000 0.0000 1.4647 Sc
5.2927 5.2927 1.4647 Sc
0.8025 6.0952 1.4647 W
4.4903 0.8025 1.4647 W
6.0952 9.7830 1.4647 W
9.7830 4.4903 1.4647 W
```

Calculated values
ΔE_f (kJ per mole of atoms): 179
ΔE to the lowest computed polymorph (meV per atom): 200

=====

Entry 5:
The following is a DFT calculation (PBE-GGA) of an optimized crystal structure of Sr2PbF.

POSCAR file:
```
Sr2PbF
1.0
3.7644 0.0000 0.0000
0.0000 3.7644 0.0000
0.0000 0.0000 8.2107
Sr Pb F
2 1 1
Cartesian
0.0000 0.0000 1.9217 Sr
0.0000 0.0000 6.2890 Sr
1.8822 1.8822 4.1053 Pb
1.8822 1.8822 0.0000 F
```

Calculated values
ΔE to the lowest computed polymorph (meV per atom): 264
Uncorrected formation energy (eV/atom): -1.33

=====

Entry 6:
The following is a DFT calculation (PBE-GGA) of an optimized crystal structure of Ac2CoP.

POSCAR file:
```
Ac2CoP
1.0
5.2108 0.0000 0.0000
0.0000 5.2108 0.0000
0.0000 0.0000 3.7881
Ac Co P
2 1 1
Cartesian
0.0000 2.6054 0.0000 Ac
2.6054 0.0000 0.0000 Ac
0.0000 0.0000 1.8940 Co
2.6054 2.6054 1.8940 P
```

Calculated values
ΔE_f (kJ per mole of atoms): -38
ΔE to the lowest computed polymorph (meV per atom): 0

=====

Entry 7:
The following is a DFT calculation (PBE-GGA) of an optimized crystal structure of DyY3Th4Se8.

POSCAR file:
```
DyY3Th4Se8
1.0
4.0456 2.3357 7.0938
-4.0456 2.3357 7.0938
0.0000 -4.6714 7.0938
Dy Y Th Se
1 3 4 8
Cartesian
0.0000 0.0000 0.0000 Dy
-2.0228 -1.1679 7.0938 Y
-2.0228 1.1678 14.1877 Y
0.0000 2.3357 7.0938 Y
-4.0456 0.0000 10.6408 Th
-2.0228 1.1678 3.5469 Th
2.0228 1.1679 3.5469 Th
0.0000 0.0000 10.6408 Th
0.0000 -2.3390 8.7568 Se
-2.0256 1.1695 8.7568 Se
0.0000 0.0000 5.4287 Se
-2.0256 -1.1695 12.5247 Se
2.0256 1.1695 8.7568 Se
0.0000 0.0000 15.8528 Se
2.0256 -1.1695 12.5247 Se
0.0000 2.3390 12.5247 Se
```

Calculated values
Uncorrected formation energy (eV/atom): -1.65

=====

Entry 8:
The following is a DFT calculation (PBE-GGA) of an optimized crystal structure of KPa2PdO8.

POSCAR file:
```
KPa2PdO8
1.0
5.4608 0.0000 0.0000
-2.7304 4.7292 0.0000
0.0000 0.0000 7.3504
K Pa Pd O
1 2 1 8
Cartesian
0.0000 0.0000 0.0000 K
0.0000 3.1528 2.8353 Pa
2.7304 1.5764 4.5151 Pa
0.0000 0.0000 3.6752 Pd
0.0000 1.7029 4.6658 O
-1.2556 3.8777 4.6658 O
0.0000 3.1528 0.9640 O
1.4748 0.8514 2.6846 O
1.2556 3.8777 4.6658 O
2.7304 1.5764 6.3864 O
3.9860 0.8514 2.6846 O
2.7304 3.0263 2.6846 O
```

Calculated values
Uncorrected formation energy (eV/atom): -2.09

=====

Entry 9:
The following is a DFT calculation (PBE-GGA) of an optimized crystal structure of Nd2Y3Zn3.

POSCAR file:
```
Nd2Y3Zn3
1.0
-1.8339 2.5879 10.9549
1.8339 -2.5879 10.9549
1.8339 2.5879 -10.9549
Nd Y Zn
2 3 3
Cartesian
0.0000 0.0000 4.9749 Nd
0.0000 0.0000 16.9349 Nd
0.0000 0.0000 0.0000 Y
1.8339 0.0000 8.4434 Y
0.0000 2.5879 2.5115 Y
1.8339 0.0000 2.4378 Zn
0.0000 0.0000 10.9549 Zn
0.0000 2.5879 8.5172 Zn
```

Calculated values
ΔE_f (kJ per mole of atoms): -24

=====

Entry 10:
The following is a DFT calculation (PBE-GGA) of an optimized crystal structure of NaCu2BrCl2.

POSCAR file:
```
NaCu2BrCl2
1.0
6.5104 0.0000 0.0000
0.0000 5.1323 0.0000
-2.8960 0.0000 8.3884
Na Cu Br Cl
2 4 2 4
Cartesian
1.3204 1.2831 0.8349 Na
2.2940 3.8492 7.5535 Na
-1.4595 0.0003 5.4865 Cu
-1.4595 2.5659 5.4865 Cu
5.0739 5.1321 2.9019 Cu
5.0739 2.5664 2.9019 Cu
0.3165 1.2831 4.2769 Br
3.2979 3.8492 4.1115 Br
0.1256 3.8492 1.5303 Cl
-0.3988 3.8492 7.1465 Cl
4.0132 1.2831 1.2419 Cl
3.4888 1.2831 6.8581 Cl
```

Calculated values
Uncorrected formation energy (eV/atom): -0.78

=====

Entry 11:
The following is a DFT calculation (PBE-GGA) of an optimized crystal structure of Cu2SiPd.

POSCAR file:
```
Cu2SiPd
1.0
2.9153 0.0000 0.0000
0.0000 7.8977 0.0000
-1.4525 0.0000 4.5562
Cu Si Pd
4 2 2
Cartesian
0.0022 0.2209 1.2401 Cu
0.0022 3.7280 1.2401 Cu
1.4606 4.1697 3.3162 Cu
1.4606 7.6768 3.3162 Cu
0.0004 5.9233 2.3517 Si
1.4624 1.9744 2.2046 Si
0.0058 1.9744 4.2280 Pd
1.4570 5.9233 0.3283 Pd
```

Calculated values
Uncorrected formation energy (eV/atom): -0.25

=====

Entry 12:
The following is a DFT calculation (PBE-GGA) of an optimized crystal structure of La3Sc.

POSCAR file:
```
La3Sc
1.0
5.8299 0.0000 0.0000
0.0000 7.3093 0.0000
0.0000 0.0000 6.3319
La Sc
6 2
Cartesian
1.4575 0.0074 1.0843 La
1.4575 1.8273 4.1486 La
1.4575 3.6473 1.0843 La
4.3724 3.6620 5.2476 La
4.3724 5.4820 2.1833 La
4.3724 7.3019 5.2476 La
1.4575 5.4820 4.2298 Sc
4.3724 1.8273 2.1021 Sc
```

Calculated values
ΔE_f (kJ per mole of atoms): 6

=====

Entry 13:
The following is a DFT calculation (PBE-GGA) of an optimized crystal structure of Ce2SmGd.

POSCAR file:
```
Ce2SmGd
1.0
1.7009 0.9820 12.2672
-1.7009 0.9820 12.2672
0.0000 -1.9640 12.2672
Ce Sm Gd
2 1 1
Cartesian
0.0000 0.0000 3.1947 Ce
0.0000 0.0000 33.6069 Ce
0.0000 0.0000 0.0000 Sm
0.0000 0.0000 18.4008 Gd
```

Calculated values
ΔE_f (kJ per mole of atoms): 22
ΔE to the lowest computed polymorph (meV per atom): 122

=====

Entry 14:
The following is a DFT calculation (PBE-GGA) of an optimized crystal structure of CaTeP2Cl.

POSCAR file:
```
CaTeP2Cl
1.0
5.0816 0.0000 0.0000
0.0000 5.0816 0.0000
0.0000 0.0000 5.3042
Ca Te P Cl
1 1 2 1
Cartesian
0.0000 0.0000 0.0000 Ca
2.5408 2.5408 2.6521 Te
0.0000 2.5408 2.6521 P
2.5408 0.0000 2.6521 P
2.5408 2.5408 0.0000 Cl
```

Calculated values
ΔE to the lowest computed polymorph (meV per atom): 0
Uncorrected formation energy (eV/atom): 0.08

=====

Entry 15:
The following is a DFT calculation (PBE-GGA) of an optimized crystal structure of SrNdAlTl.

POSCAR file:
```
SrNdAlTl
1.0
0.0000 3.9162 3.9162
3.9162 0.0000 3.9162
3.9162 3.9162 0.0000
Sr Nd Al Tl
1 1 1 1
Cartesian
0.0000 0.0000 0.0000 Sr
3.9162 3.9162 3.9162 Nd
1.9581 1.9581 1.9581 Al
5.8743 5.8743 5.8743 Tl
```

Calculated values
ΔE_f (kJ per mole of atoms): -24

=====

Entry 16:
The following is a DFT calculation (PBE-GGA) of an optimized crystal structure of Mg2AlSe.

POSCAR file:
```
Mg2AlSe
1.0
3.5710 0.0000 0.0000
0.0000 3.5641 0.0000
-0.1931 0.0000 6.3694
Mg Al Se
2 1 1
Cartesian
-0.0228 0.0000 1.6245 Mg
3.4007 0.0000 4.7449 Mg
1.7855 1.7820 0.0000 Al
1.6889 1.7820 3.1847 Se
```

Calculated values
ΔE to the lowest computed polymorph (meV per atom): 122
Uncorrected formation energy (eV/atom): -0.27

=====

Entry 17:
The following is a DFT calculation (PBE-GGA) of an optimized crystal structure of AlRe2W.

POSCAR file:
```
AlRe2W
1.0
1.4103 0.8143 8.8563
-1.4103 0.8143 8.8563
0.0000 -1.6285 8.8563
Al Re W
1 2 1
Cartesian
0.0000 0.0000 0.0000 Al
0.0000 0.0000 6.6571 Re
0.0000 0.0000 19.9117 Re
0.0000 0.0000 13.2844 W
```

Calculated values
ΔE_f (kJ per mole of atoms): 5

=====

Entry 18:
The following is a DFT calculation (PBE-GGA) of an optimized crystal structure of Y2Cd3Ag4.

POSCAR file:
```
Y2Cd3Ag4
1.0
4.3108 -2.4418 0.0000
4.3108 2.4418 0.0000
-0.4102 0.0000 9.2216
Y Cd Ag
2 3 4
Cartesian
1.3893 0.0000 2.0734 Y
6.8222 0.0000 7.1482 Y
1.1329 0.0000 5.3423 Cd
4.3108 0.0000 0.0000 Cd
7.0786 0.0000 3.8793 Cd
1.0456 0.0000 8.3016 Ag
3.9553 0.0000 6.0007 Ag
4.2562 0.0000 3.2209 Ag
7.1659 0.0000 0.9201 Ag
```

Calculated values
ΔE_f (kJ per mole of atoms): -24
ΔE to the lowest computed polymorph (meV per atom): 0

=====

Entry 19:
The following is a DFT calculation (PBE-GGA) of an optimized crystal structure of Nd5Cd2Ru2.

POSCAR file:
```
Nd5Cd2Ru2
1.0
8.2866 -3.8464 0.0000
8.2866 3.8464 0.0000
0.0000 0.0000 7.9028
Nd Cd Ru
10 4 4
Cartesian
0.0000 0.0000 0.0000 Nd
6.3537 2.5581 5.2924 Nd
6.3537 1.2883 1.3410 Nd
10.2194 2.5581 5.2924 Nd
10.2194 1.2883 1.3410 Nd
8.2866 0.0000 3.9514 Nd
6.3537 -1.2883 6.5617 Nd
6.3537 -2.5581 2.6104 Nd
10.2194 -1.2883 6.5617 Nd
10.2194 -2.5581 2.6104 Nd
3.6016 0.0000 0.0000 Cd
4.6850 0.0000 3.9514 Cd
11.8882 0.0000 3.9514 Cd
12.9715 0.0000 0.0000 Cd
8.2866 2.8194 2.8863 Ru
8.2866 1.0271 6.8376 Ru
8.2866 -1.0271 1.0651 Ru
8.2866 -2.8194 5.0165 Ru
```

Calculated values
ΔE_f (kJ per mole of atoms): -22
ΔE to the lowest computed polymorph (meV per atom): 0

=====

Entry 20:
The following is a DFT calculation (PBE-GGA) of an optimized crystal structure of NiOs.

POSCAR file:
```
NiOs
1.0
7.7722 0.0000 0.0000
0.0000 7.7722 0.0000
0.0000 0.0000 2.4723
Ni Os
4 4
Cartesian
1.4866 1.4866 0.0000 Ni
2.3995 5.3727 1.2362 Ni
5.3727 2.3995 1.2362 Ni
6.2856 6.2856 0.0000 Ni
0.8927 6.8794 0.0000 Os
2.9934 2.9934 1.2362 Os
4.7788 4.7788 1.2362 Os
6.8794 0.8927 0.0000 Os
```

Calculated values
ΔE_f (kJ per mole of atoms): 96

=====

no.,total energy (eV per atom)
1,-5.999
2,-4.770
3,-6.675
4,-4.984
5,-3.561
6,-5.580
7,-6.747
8,-7.504
9,-4.339
10,-3.263
11,-4.949
12,-5.216
13,-7.435
14,-3.478
15,-3.385
16,-2.879
17,-10.342
18,-3.255
19,-5.142
20,-7.511